(1)
Density functional theory data (PBE) for a geometry-optimized Li2TcHg structure.

Unit cell a=5.0945 b=5.0945 c=5.0315 alpha=81.93 beta=81.93 gamma=30.44
Fractional positions:
Li1 0.7523 0.7523 0.7590
Li2 0.9927 0.9927 0.9871
Hg1 0.2520 0.2520 0.2711
Tc1 0.5030 0.5030 0.4828

space-group type: Cm

---

(2)
Density functional theory data (PBE) for a geometry-optimized Li2TcHg structure.

Unit cell a=2.6936 b=2.6936 c=9.0139 alpha=90.00 beta=90.00 gamma=98.51
Fractional positions:
Li1 0.0000 0.0000 0.0139
Li2 0.0000 0.0000 0.4861
Hg1 0.5000 0.5000 0.7500
Tc1 0.5000 0.5000 0.2500

space-group type: Cmmm

---

(3)
Density functional theory data (PBE) for a geometry-optimized Li2TcHg structure.

Unit cell a=3.9410 b=3.9679 c=3.9679 alpha=90.00 beta=90.00 gamma=90.00
Site moments in Bohr magnetons follow the coordinates.
Fractional positions:
Li1 0.0000 0.5000 0.5000  -0.01
Li2 0.0000 0.0000 0.0000  -0.01
Hg1 0.5000 0.0000 0.5000  -0.01
Tc1 0.5000 0.5000 0.0000  0.50

space-group type: P4/mmm

---

(4)
Density functional theory data (PBE) for a geometry-optimized LiTlTc2Hg structure.

Unit cell a=5.1211 b=4.5653 c=5.1211 alpha=90.00 beta=90.00 gamma=90.00
Site moments in Bohr magnetons follow the coordinates.
Fractional positions:
Li1 0.0000 0.5000 0.0000  -0.05
Tc1 0.5000 0.0000 0.0000  1.97
Tc2 0.0000 0.0000 0.5000  2.62
Tl1 0.5000 0.5000 0.5000  -0.07
Hg1 0.0000 0.0000 0.0000  -0.01

space-group type: P4/mmm

---

(5)
Density functional theory data (PBE) for a geometry-optimized LiZnTc2Hg structure.

Unit cell a=4.3530 b=4.2220 c=4.3530 alpha=90.00 beta=90.00 gamma=90.00
Site moments in Bohr magnetons follow the coordinates.
Fractional positions:
Hg1 0.5000 0.5000 0.5000  -0.01
Tc1 0.5000 0.0000 0.0000  1.53
Tc2 0.0000 0.0000 0.5000  1.73
Li1 0.0000 0.0000 0.0000  0.00
Zn1 0.0000 0.5000 0.0000  -0.03

space-group type: P4/mmm

---

(6)
Density functional theory data (PBE) for a geometry-optimized LiHgTe2 structure.

Unit cell a=4.3892 b=4.3892 c=7.1643 alpha=72.16 beta=72.16 gamma=60.00
Fractional positions:
Hg1 0.6670 0.6670 0.9990
Te1 0.0871 0.0871 0.7387
Te2 0.2432 0.2432 0.2704
Li1 0.5027 0.5027 0.4920

formation energy from raw total energies: -0.97 eV/f.u.
space-group type: R3m

---

(7)
Density functional theory data (PBE) for a geometry-optimized Li2HgTe structure.

Unit cell a=5.5289 b=5.5289 c=4.4833 alpha=89.42 beta=89.42 gamma=42.88
Fractional positions:
Hg1 0.2534 0.2534 0.1312
Li1 0.9963 0.9963 0.1175
Li2 0.7671 0.7671 0.6306
Te1 0.4832 0.4832 0.6207

formation energy from raw total energies: -2.26 eV/f.u.
space-group type: Cm
energy relative to the lowest polymorph listed for this composition: 83 meV/atom

---

(8)
Density functional theory data (PBE) for a geometry-optimized Li2HgTe structure.

Unit cell a=3.8245 b=4.7247 c=4.7247 alpha=90.00 beta=90.00 gamma=90.00
Fractional positions:
Te1 0.5000 0.5000 0.0000
Hg1 0.5000 0.0000 0.5000
Li1 0.0000 0.0000 0.0000
Li2 0.0000 0.5000 0.5000

formation energy from raw total energies: -2.21 eV/f.u.
space-group type: P4/mmm
energy relative to the lowest polymorph listed for this composition: 97 meV/atom

---

(9)
Density functional theory data (PBE) for a geometry-optimized LiHgTe2 structure.

Unit cell a=3.1857 b=3.1857 c=10.8092 alpha=90.00 beta=90.00 gamma=94.11
Fractional positions:
Hg1 0.0000 0.0000 0.5462
Li1 0.5000 0.5000 0.7385
Te1 0.5000 0.5000 0.2918
Te2 0.0000 0.0000 0.9234

formation energy from raw total energies: -0.96 eV/f.u.
space-group type: Cmm2

---

(10)
Density functional theory data (PBE) for a geometry-optimized LiHg2Te structure.

Unit cell a=3.2426 b=3.2426 c=9.7189 alpha=90.00 beta=90.00 gamma=90.00
Fractional positions:
Hg1 0.5000 0.5000 0.2900
Hg2 0.0000 0.0000 0.0220
Te1 0.5000 0.5000 0.6914
Li1 0.0000 0.0000 0.4965

formation energy from raw total energies: -0.98 eV/f.u.
space-group type: P4mm

---

(11)
Density functional theory data (PBE) for a geometry-optimized LiHg2Te structure.

Unit cell a=3.2472 b=4.6389 c=7.7597 alpha=90.00 beta=90.00 gamma=90.00
Fractional positions:
Hg1 0.0000 0.0000 0.0126
Hg2 0.5000 0.5000 0.2146
Li1 0.0000 0.0000 0.6409
Te1 0.5000 0.5000 0.6319

formation energy from raw total energies: -1.13 eV/f.u.
space-group type: Pmm2

---

(12)
Density functional theory data (PBE) for a geometry-optimized Li5HgTe3 structure.

Unit cell a=6.7509 b=8.2129 c=9.4828 alpha=106.83 beta=90.00 gamma=114.27
Fractional positions:
Li1 0.7524 0.0000 0.2500
Li2 0.1072 0.6796 0.4078
Li3 0.8928 0.3204 0.5922
Li4 0.4123 0.3351 0.5762
Li5 0.0772 0.6649 0.9238
Li6 0.4276 0.3204 0.0922
Li7 0.9228 0.3351 0.0762
Li8 0.2476 0.0000 0.7500
Li9 0.5724 0.6796 0.9078
Li10 0.5877 0.6649 0.4238
Te1 0.7071 0.3554 0.3400
Te2 0.3517 0.6446 0.1600
Te3 0.0000 0.0000 0.0000
Te4 0.6483 0.3554 0.8400
Te5 0.2929 0.6446 0.6600
Te6 0.0000 0.0000 0.5000
Hg1 0.7404 0.0000 0.7500
Hg2 0.2596 0.0000 0.2500

formation energy from raw total energies: -7.33 eV/f.u.
space-group type: C2/c

---

The calculation returns the following total magnetic moment values, one per record and in order: 0.0; 0.0; 0.5; 4.7; 3.5; 0.0; 0.0; 0.0; 0.0; 0.0; 0.0; 0.0 μB per formula unit.
The calculation returns the following E_tot values, one per record and in order: -3.35; -3.46; -3.32; -3.63; -3.75; -2.37; -2.38; -2.37; -2.36; -1.66; -1.70; -2.96 eV/atom.
The calculation returns the following volume values, one per record and in order: 16.4; 16.2; 15.5; 23.9; 16.0; 28.0; 23.3; 21.3; 27.4; 25.5; 29.2; 25.2 Å³/atom.